1.
The following is a PBE calculation of CaAs2Pb after structural relaxation, from the Alexandria database.

a b c (Å): 5.4408 5.4408 4.8022
angles (deg): 63.85 63.85 52.69
Fractional coordinates of all 4 atoms:
Pb: 0.2500 0.2500 0.2500
As: 0.9998 0.9998 0.0001
As: 0.5002 0.5002 0.4999
Ca: 0.7500 0.7500 0.7500

Results
Energy of formation: -33.9 kJ/mol of atoms
Final energy: -16.41 eV/cell
Fermi-level density of states: 2.16 states/eV per cell


2.
The following is a PBE calculation of Zr2US6 after structural relaxation, from the Alexandria database.

a b c (Å): 4.7459 6.9802 7.5993
angles (deg): 74.03 71.80 70.13
Site moments in Bohr magnetons follow the coordinates.
Fractional coordinates of all 9 atoms:
Zr: 0.8231 0.2406 0.1132  0.03
S: 0.7520 0.6229 0.8731  -0.01
S: 0.0363 0.1422 0.7853  -0.02
U: 0.0000 0.5000 0.5000  2.03
S: 0.3684 0.7132 0.5501  -0.05
S: 0.9637 0.8578 0.2147  -0.02
S: 0.2480 0.3771 0.1269  -0.01
Zr: 0.1769 0.7594 0.8868  0.03
S: 0.6316 0.2868 0.4499  -0.05

Results
Formation energy (no corrections): -1350 meV per atom
Final energy: -65.30 eV/cell
Relative energy among the computed polymorphs: 107 meV/atom
Fermi-level density of states: 8.52 states/eV per cell


3.
The following is a PBE calculation of La2Tb2Sb5 after structural relaxation, from the Alexandria database.

a b c (Å): 8.3011 9.1517 9.1517
angles (deg): 126.75 90.00 90.00
Fractional coordinates of all 18 atoms:
La: 0.5000 0.6902 0.3098
Sb: 0.3619 0.9961 0.7295
Sb: 0.6381 0.0039 0.2705
Tb: 0.1608 0.6582 0.6582
Sb: 0.8619 0.7705 0.5039
Sb: 0.0000 0.0000 0.0000
Tb: 0.6607 0.8418 0.8418
Sb: 0.8619 0.5039 0.7705
Tb: 0.8392 0.3418 0.3418
Sb: 0.3619 0.7295 0.9961
Sb: 0.1381 0.2295 0.4961
Tb: 0.3392 0.1582 0.1582
Sb: 0.6381 0.2705 0.0039
La: 0.0000 0.8098 0.1902
La: 0.5000 0.3098 0.6902
Sb: 0.5000 0.5000 0.5000
La: 0.0000 0.1902 0.8098
Sb: 0.1381 0.4961 0.2295

Results
Formation energy (no corrections): -949 meV per atom
Final energy: -96.54 eV/cell
Fermi-level density of states: 14.75 states/eV per cell


4.
The following is a PBE calculation of KMo2 after structural relaxation, from the Alexandria database.

a b c (Å): 4.8597 4.8597 12.3191
angles (deg): 76.68 76.68 37.68
Fractional coordinates of all 6 atoms:
Mo: 0.6701 0.6701 0.4453
Mo: 0.3299 0.3299 0.5547
Mo: 0.9971 0.9971 0.3811
K: 0.6758 0.6758 0.8368
K: 0.3242 0.3242 0.1632
Mo: 0.0029 0.0029 0.6189

Results
Energy of formation: 77.0 kJ/mol of atoms
Final energy: -40.73 eV/cell
Relative energy among the computed polymorphs: 159 meV/atom
Fermi-level density of states: 6.09 states/eV per cell


5.
The following is a PBE calculation of BeAlH6 after structural relaxation, from the Alexandria database.

a b c (Å): 4.5608 4.5629 4.5652
angles (deg): 60.06 60.05 60.03
Fractional coordinates of all 8 atoms:
Al: 0.5000 0.5000 0.5000
H: 0.7644 0.2344 0.7654
H: 0.2342 0.2360 0.7643
Be: 0.0000 0.0000 0.0000
H: 0.2353 0.7655 0.7644
H: 0.7647 0.2345 0.2356
H: 0.7658 0.7640 0.2357
H: 0.2356 0.7656 0.2346

Results
Final energy: -25.69 eV/cell
Fermi-level density of states: 1.80 states/eV per cell


6.
The following is a PBE calculation of NiHgPS2 after structural relaxation, from the Alexandria database.

a b c (Å): 4.7870 4.7870 4.1546
angles (deg): 90.00 90.00 90.00
Fractional coordinates of all 5 atoms:
S: 0.5000 0.0000 0.0000
Hg: 0.5000 0.5000 0.5000
P: 0.0000 0.0000 0.5000
S: 0.0000 0.5000 0.0000
Ni: 0.0000 0.0000 0.0000

Results
Formation energy (no corrections): 479 meV per atom
Final energy: -17.36 eV/cell
Relative energy among the computed polymorphs: 0 meV/atom
Fermi-level density of states: 4.73 states/eV per cell


- Which value of Fermi-level density of states does entry 5 give?
  1.80 states/eV per cell